Compound: SnHOs2
Source: the Alexandria database
Functional: GGA-PBE
Structure: optimized geometry

```
SnHOs2
1.0
-1.801 -0.046 4.159
-2.524 -3.791 -1.163
5.052 -2.120 1.298
Os Sn H
4 2 2
Direct
0.710 0.870 0.959
0.999 0.417 0.167
0.431 0.351 0.926
0.220 0.783 0.661
0.312 0.963 0.264
0.875 0.302 0.616
0.798 0.741 0.233
0.848 0.833 0.640
```

Calculated values
Crystal system ... triclinic
Density ... 14.403 g cm⁻³
Raw total energy ... -55.7 eV/cell
ΔE to the lowest computed polymorph ... 154 meV per atom